Compound: BeIn2B
Source: Alexandria via LeMat-Bulk
Functional: GGA-PBEsol
Structure: relaxed

Unit cell a=4.513 b=4.513 c=4.513 alpha=60.00 beta=60.00 gamma=60.00
Positions (direct):
Be  0.000  0.000  0.000
In  0.250  0.250  0.250
In  0.750  0.750  0.750
B  0.500  0.500  0.500

Values from the calculation:
DFT formation energy = 1.043 eV/atom